a:
A plane-wave DFT calculation with PBE was carried out for crystalline Pm3Sm5Ho3 at its relaxed geometry.

M_tot ... 0.000 μB per atom
Calculated volume ... 382.3 Å³/cell

a b c (Å): 11.298 11.298 3.459
angles (deg): 90.00 90.00 120.00
Fractional coordinates of all 11 atoms:
Pm  0.000  0.597  0.000
Pm  0.403  0.403  0.000
Pm  0.597  0.000  0.000
Sm  0.000  0.338  0.500
Sm  0.333  0.667  0.500
Sm  0.338  0.000  0.500
Sm  0.662  0.662  0.500
Sm  0.667  0.333  0.500
Ho  0.000  0.841  0.500
Ho  0.159  0.159  0.500
Ho  0.841  0.000  0.500

b:
A plane-wave DFT calculation with PBE was carried out for crystalline Pm3Sm5Ho3 at its relaxed geometry.

M_tot ... 0.000 μB per atom
Calculated volume ... 454.6 Å³/cell

a b c (Å): 9.732 9.732 5.542
angles (deg): 90.00 90.00 120.00
Fractional coordinates of all 11 atoms:
Pm  0.000  0.428  0.000
Pm  0.428  0.000  0.000
Pm  0.572  0.572  0.000
Sm  0.000  0.269  0.500
Sm  0.269  0.000  0.500
Sm  0.333  0.667  0.500
Sm  0.667  0.333  0.500
Sm  0.731  0.731  0.500
Ho  0.000  0.631  0.500
Ho  0.369  0.369  0.500
Ho  0.631  0.000  0.500

a comes first in stability; the runner-up is 429 meV/atom higher.